Entry from Alexandria: a relaxed V3Au crystal (PBE-GGA).

Results
Total moment = 0.0 μB/f.u.
Fermi-level density of states = 4.64 states/eV per cell
VASP energy = -0.27936 Ha/atom
Mass density = 10.0 g cm⁻³
Energy above the most stable polymorph in this dataset = 93 meV per atom

abc: 4.0358 4.0358 3.5715
angles: 90.00 90.00 90.00
Space group P4/mmm (No. 123)
Symmetry-distinct sites (fractional):
1 V 0.0000 0.0000 0.0000
2 V 0.0000 0.5000 0.5000
3 Au 0.5000 0.5000 0.0000

Entry from Alexandria: a relaxed CePaMoN3 crystal (PBE-GGA).

Results
Total moment = 0.0 μB/f.u.
Fermi-level density of states = 6.77 states/eV per cell
VASP energy = -0.35323 Ha/atom
Formation energy without anion corrections = -621 kJ/mol of formula units
Mass density = 8.9 g cm⁻³

abc: 7.5052 3.2937 7.7043
angles: 90.00 96.21 90.00
Space group P2_1/m (No. 11)
Symmetry-distinct sites (fractional):
1 Ce 0.1524 0.2500 0.1778
2 Pa 0.3624 0.7500 0.8290
3 Mo 0.1102 0.2500 0.5824
4 N 0.1293 0.2500 0.8587
5 N 0.1778 0.7500 0.4227
6 N 0.4085 0.7500 0.1163

Entry from Alexandria: a relaxed BHRu crystal (PBE-GGA).

Results
Total moment = 0.0 μB/f.u.
Fermi-level density of states = 3.19 states/eV per cell
VASP energy = -0.23746 Ha/atom
Mass density = 7.9 g cm⁻³
Energy above the most stable polymorph in this dataset = 87 meV per atom

abc: 8.5451 2.8711 4.0188
angles: 90.00 104.41 90.00
Space group C2/m (No. 12)
Symmetry-distinct sites (fractional):
1 B 0.2256 0.0000 0.3620
2 H 0.0000 0.5000 0.0000
3 H 0.0000 0.5000 0.5000
4 Ru 0.1210 0.0000 0.8040